Material: CrInO2
Method: DFT, PBE+U
State: optimized geometry

Summary:
ρ	5.68	g cm⁻³
E	-6.18	eV/atom

Lattice parameters (Å, degrees): 11.994 11.994 3.401 90.00 90.00 166.26
Site moments in Bohr magnetons follow the coordinates.
Atoms (fractional coordinates):
Cr: 0.301 0.699 0.250  3.19
Cr: 0.699 0.301 0.750  3.19
O: 0.219 0.781 0.250  -0.17
O: 0.781 0.219 0.750  -0.17
O: 0.863 0.137 0.250  -0.10
O: 0.137 0.863 0.750  -0.10
In: 0.075 0.925 0.250  0.00
In: 0.925 0.075 0.750  0.00